BaMnCr4 | PBE-GGA | optimized geometry

Symmetry: F-43m (216)
DOS at the Fermi energy, states/eV per cell: 6.8
Magnetization, μB per cell: 2.07
Energy relative to the elements, eV/atom: 1.04

Unit cell a=5.109 b=5.109 c=5.109 alpha=60.00 beta=60.00 gamma=60.00
Element x y z (fractional)
Cr (0.377, 0.377, 0.868)
Cr (0.377, 0.868, 0.377)
Mn (0.750, 0.750, 0.750)
Ba (0.000, 0.000, 0.000)
Cr (0.377, 0.377, 0.377)
Cr (0.868, 0.377, 0.377)

---

KMnNiSe3 | PBE-GGA | optimized geometry

Symmetry: P2_1/m (11)
Formation energy from raw total energies, kJ per mole of atoms: -59
DOS at the Fermi energy, states/eV per cell: 5.4
Magnetization, μB per cell: 4.75

Unit cell a=3.728 b=8.480 c=9.466 alpha=114.06 beta=90.00 gamma=90.00
Element x y z (fractional)
Se (0.750, 0.877, 0.135)
Mn (0.750, 0.311, 0.841)
K (0.250, 0.236, 0.265)
Se (0.750, 0.224, 0.557)
Se (0.750, 0.475, 0.135)
Ni (0.250, 0.082, 0.604)
Se (0.250, 0.776, 0.443)
Ni (0.750, 0.918, 0.396)
Se (0.250, 0.525, 0.865)
K (0.750, 0.764, 0.735)
Se (0.250, 0.123, 0.865)
Mn (0.250, 0.689, 0.159)

---

HfNiOs3 | PBE-GGA | optimized geometry

Symmetry: Pm-3m (221)
DOS at the Fermi energy, states/eV per cell: 7.8
Magnetization, μB per cell: 2.91
Polymorph energy (0 for the lowest one), eV/atom: 1.4072
Energy relative to the elements, eV/atom: 2.62

Unit cell a=4.761 b=4.761 c=4.761 alpha=90.00 beta=90.00 gamma=90.00
Element x y z (fractional)
Ni (0.500, 0.500, 0.500)
Os (0.000, 0.500, 0.000)
Os (0.500, 0.000, 0.000)
Hf (0.000, 0.000, 0.000)
Os (0.000, 0.000, 0.500)

---

PrScTl | PBE-GGA | optimized geometry

Symmetry: C2/m (12)
DOS at the Fermi energy, states/eV per cell: 5.5
Magnetization, μB per cell: 0.00
Polymorph energy (0 for the lowest one), eV/atom: 0.0009
Energy relative to the elements, eV/atom: -0.29

Unit cell a=4.601 b=4.601 c=8.895 alpha=104.91 beta=104.91 gamma=90.01
Element x y z (fractional)
Sc (0.500, 0.000, 0.000)
Tl (0.874, 0.874, 0.746)
Sc (0.000, 0.500, 0.000)
Tl (0.126, 0.126, 0.254)
Pr (0.330, 0.330, 0.657)
Pr (0.670, 0.670, 0.343)